No. 1
Here is a geometry-optimized KSrRuCl2 structure from Alexandria via LeMat-Bulk. Energies are from GGA-PBEsol.

abc: 5.4153 5.4153 11.6752
angles: 90.00 90.00 90.00
Last column: nearest neighbours and their distance in Å.
Atoms (fractional coordinates):
K 0.0000 0.0000 0.0000  4 Ru 3.83
Sr 0.0000 0.0000 0.5000  4 Cl 2.71
Ru 0.5000 0.5000 0.0000  4 K 3.83
Cl 0.0000 0.5000 0.5000  2 Sr 2.71
Cl 0.5000 0.0000 0.5000  2 Sr 2.71

Formation energy (no corrections) = 0.048 eV/atom
Fermi-level density of states = 1.713 states/eV/atom
Space group = No. 123

No. 2
Here is a geometry-optimized K2SCl structure from Alexandria via LeMat-Bulk. Energies are from GGA-PBEsol.

abc: 5.3241 5.3241 5.3241
angles: 60.00 60.00 60.00
Last column: nearest neighbours and their distance in Å.
Atoms (fractional coordinates):
K 0.2500 0.2500 0.2500  4 Cl 3.26, 4 S 3.26
K 0.7500 0.7500 0.7500  4 S 3.26, 4 Cl 3.26
S 0.0000 0.0000 0.0000  8 K 3.26
Cl 0.5000 0.5000 0.5000  8 K 3.26

Formation energy (no corrections) = -1.066 eV/atom
Fermi-level density of states = 1.420 states/eV/atom
Space group = No. 225

No. 3
Here is a geometry-optimized KS2Cl2 structure from Alexandria via LeMat-Bulk. Energies are from GGA-PBEsol.

abc: 10.8262 10.8262 10.8262
angles: 162.38 162.38 25.02
Last column: nearest neighbours and their distance in Å.
Atoms (fractional coordinates):
K 0.0000 0.0000 0.0000  8 Cl 3.07, 4 K 3.32
S 0.2500 0.7500 0.5000  4 S 2.35
S 0.7500 0.2500 0.5000  4 S 2.35
Cl 0.4061 0.4061 0.0000  4 K 3.07, 4 Cl 3.32
Cl 0.5939 0.5939 0.0000  4 K 3.07, 4 Cl 3.32

Formation energy (no corrections) = -0.393 eV/atom
Fermi-level density of states = 0.763 states/eV/atom
Space group = No. 139

No. 4
Here is a geometry-optimized KScS2Cl structure from Alexandria via LeMat-Bulk. Energies are from GGA-PBEsol.

abc: 4.8851 4.8851 5.1633
angles: 90.00 90.00 90.00
Last column: nearest neighbours and their distance in Å.
Atoms (fractional coordinates):
K 0.0000 0.0000 0.0000  4 Cl 3.45, 8 S 3.55
Sc 0.5000 0.5000 0.5000  4 S 2.44, 2 Cl 2.58
S 0.0000 0.5000 0.5000  2 Sc 2.44
S 0.5000 0.0000 0.5000  2 Sc 2.44
Cl 0.5000 0.5000 0.0000  2 Sc 2.58

Formation energy (no corrections) = -1.468 eV/atom
Fermi-level density of states = 0.515 states/eV/atom
Space group = No. 123

No. 5
Here is a geometry-optimized KSeS2Cl structure from Alexandria via LeMat-Bulk. Energies are from GGA-PBEsol.

abc: 5.7493 5.7493 5.5798
angles: 90.00 90.00 90.00
Last column: nearest neighbours and their distance in Å.
Atoms (fractional coordinates):
K 0.0000 0.0000 0.0000  2 Cl 2.79, 4 S 2.87
Se 0.5000 0.5000 0.5000  8 S 4.01, 4 Cl 4.07
S 0.0000 0.5000 0.0000  2 K 2.87
S 0.5000 0.0000 0.0000  2 K 2.87
Cl 0.0000 0.0000 0.5000  2 K 2.79

Formation energy (no corrections) = 1.042 eV/atom
Fermi-level density of states = 1.076 states/eV/atom
Space group = No. 123

No. 6
Here is a geometry-optimized KSiSCl2 structure from Alexandria via LeMat-Bulk. Energies are from GGA-PBEsol.

abc: 4.9760 4.9760 4.5026
angles: 90.00 90.00 90.00
Last column: nearest neighbours and their distance in Å.
Atoms (fractional coordinates):
K 0.0000 0.0000 0.0000  8 Cl 3.36, 4 S 3.52
Si 0.5000 0.5000 0.5000  2 S 2.25, 4 Cl 2.49
S 0.5000 0.5000 0.0000  2 Si 2.25
Cl 0.0000 0.5000 0.5000  2 Si 2.49
Cl 0.5000 0.0000 0.5000  2 Si 2.49

Formation energy (no corrections) = -0.941 eV/atom
Fermi-level density of states = 0.140 states/eV/atom
Space group = No. 123

No. 7
Here is a geometry-optimized KSnSCl2 structure from Alexandria via LeMat-Bulk. Energies are from GGA-PBEsol.

abc: 5.3146 5.3146 5.4159
angles: 90.00 90.00 90.00
Last column: nearest neighbours and their distance in Å.
Atoms (fractional coordinates):
K 0.0000 0.0000 0.0000  4 Cl 2.66, 2 S 2.71
Sn 0.5000 0.5000 0.5000  4 S 3.76, 8 Cl 3.79
S 0.0000 0.0000 0.5000  2 K 2.71
Cl 0.0000 0.5000 0.0000  2 K 2.66
Cl 0.5000 0.0000 0.0000  2 K 2.66

Formation energy (no corrections) = -0.057 eV/atom
Fermi-level density of states = 0.735 states/eV/atom
Space group = No. 123

No. 8
Here is a geometry-optimized KZnSCl2 structure from Alexandria via LeMat-Bulk. Energies are from GGA-PBEsol.

abc: 5.0386 5.0386 4.6007
angles: 90.00 90.00 90.00
Last column: nearest neighbours and their distance in Å.
Atoms (fractional coordinates):
K 0.0000 0.0000 0.0000  8 Cl 3.41, 4 S 3.56
Zn 0.5000 0.5000 0.5000  2 S 2.30, 4 Cl 2.52
S 0.5000 0.5000 0.0000  2 Zn 2.30
Cl 0.0000 0.5000 0.5000  2 Zn 2.52
Cl 0.5000 0.0000 0.5000  2 Zn 2.52

Formation energy (no corrections) = -0.895 eV/atom
Fermi-level density of states = 0.740 states/eV/atom
Space group = No. 123

Let's list E_tot in order: -3.384, -3.231, -3.176, -5.171, -2.110, -3.997, -2.815, -3.118 eV/atom.